MnP2RuPt: relaxed, PBE.

VASP energy: -7.460 eV/atom
SG: Cm

Unit cell a=3.4640 b=3.1753 c=13.2091 alpha=90.00 beta=105.12 gamma=90.00
Last column: magnetic moment on the atom in μB.
Fractional coordinates of all 10 atoms:
Mn: 0.2888 0.0000 0.1744  2.49
Mn: 0.2888 0.5000 0.6744  2.49
P: 0.8365 0.0000 0.7214  -0.07
P: 0.8365 0.5000 0.2214  -0.07
P: 0.1044 0.0000 0.9894  -0.04
P: 0.1044 0.5000 0.4894  -0.04
Ru: 0.6554 0.0000 0.5395  -0.01
Ru: 0.6554 0.5000 0.0395  -0.01
Pt: 0.4665 0.0000 0.8521  -0.02
Pt: 0.4665 0.5000 0.3521  -0.02

MnP2RuPt: relaxed, PBE.

VASP energy: -7.440 eV/atom
SG: Cm

Unit cell a=6.2124 b=2.8752 c=7.9979 alpha=90.00 beta=96.88 gamma=90.00
Fractional coordinates of all 10 atoms:
Mn: 0.6386 0.0000 0.9608
Mn: 0.6386 0.5000 0.4608
P: 0.6022 0.0000 0.2377
P: 0.6022 0.5000 0.7377
P: 0.0123 0.0000 0.9837
P: 0.0123 0.5000 0.4837
Ru: 0.9137 0.0000 0.6898
Ru: 0.9137 0.5000 0.1898
Pt: 0.2795 0.0000 0.3804
Pt: 0.2795 0.5000 0.8804

MnP2RuPt: relaxed, PBE.

VASP energy: -7.383 eV/atom
SG: Imm2

Unit cell a=2.8652 b=3.3642 c=14.8366 alpha=90.00 beta=90.00 gamma=90.00
Last column: magnetic moment on the atom in μB.
Fractional coordinates of all 10 atoms:
Mn: 0.0000 0.5000 0.0111  2.62
Mn: 0.5000 0.0000 0.5111  2.62
P: 0.0000 0.5000 0.4623  -0.09
P: 0.5000 0.0000 0.9623  -0.09
P: 0.0000 0.0000 0.2616  0.00
P: 0.5000 0.5000 0.7616  0.00
Ru: 0.0000 0.0000 0.8302  -0.10
Ru: 0.5000 0.5000 0.3302  -0.10
Pt: 0.0000 0.5000 0.6345  0.13
Pt: 0.5000 0.0000 0.1345  0.13

MnP2RuPt: relaxed, PBE.

VASP energy: -7.409 eV/atom
SG: Cm

Unit cell a=7.2568 b=2.9514 c=7.8575 alpha=90.00 beta=122.52 gamma=90.00
Fractional coordinates of all 10 atoms:
Mn: 0.3767 0.0000 0.1385
Mn: 0.3767 0.5000 0.6385
P: 0.4086 0.0000 0.4422
P: 0.4086 0.5000 0.9422
P: 0.9945 0.0000 0.9469
P: 0.9945 0.5000 0.4469
Ru: 0.0884 0.0000 0.7114
Ru: 0.0884 0.5000 0.2114
Pt: 0.6855 0.0000 0.9652
Pt: 0.6855 0.5000 0.4652

MnP2RuPt: relaxed, PBE.

VASP energy: -7.296 eV/atom
SG: Cm

Unit cell a=5.7300 b=2.9744 c=8.2045 alpha=90.00 beta=102.01 gamma=90.00
Last column: magnetic moment on the atom in μB.
Fractional coordinates of all 10 atoms:
Mn: 0.4188 0.0000 0.4503  1.80
Mn: 0.4188 0.5000 0.9503  1.80
P: 0.4952 0.0000 0.7418  -0.07
P: 0.4952 0.5000 0.2418  -0.07
P: 0.7324 0.0000 0.0561  -0.05
P: 0.7324 0.5000 0.5561  -0.05
Ru: 0.8413 0.0000 0.3529  -0.04
Ru: 0.8413 0.5000 0.8529  -0.04
Pt: 0.1536 0.0000 0.1221  0.07
Pt: 0.1536 0.5000 0.6221  0.07

MnP2RuPt: relaxed, PBE.

VASP energy: -7.470 eV/atom
SG: Cm

Unit cell a=4.3533 b=3.6481 c=4.8896 alpha=89.93 beta=92.66 gamma=114.79
Last column: magnetic moment on the atom in μB.
Fractional coordinates of all 5 atoms:
Mn: 0.8763 0.0917 0.5892  2.33
P: 0.4867 0.3976 0.5891  -0.08
P: 0.0870 0.1974 0.1606  -0.04
Ru: 0.7064 0.5073 0.1646  -0.07
Pt: 0.2899 0.7991 0.8552  -0.02

MnP2RuPt: relaxed, PBE.

VASP energy: -7.365 eV/atom
SG: Pm

Unit cell a=2.8827 b=2.8725 c=8.3650 alpha=90.00 beta=95.45 gamma=90.00
Last column: magnetic moment on the atom in μB.
Fractional coordinates of all 5 atoms:
Mn: 0.5182 0.5000 0.6545  0.40
P: 0.9801 0.0000 0.5404  -0.02
P: 0.6315 0.5000 0.0397  0.00
Ru: 0.0927 0.0000 0.8902  0.07
Pt: 0.6771 0.5000 0.3216  0.00

MnP2RuPt: relaxed, PBE.

VASP energy: -7.453 eV/atom
SG: Pm

Unit cell a=4.1367 b=3.6316 c=5.2647 alpha=90.00 beta=95.88 gamma=90.00
Last column: magnetic moment on the atom in μB.
Fractional coordinates of all 5 atoms:
Mn: 0.1404 0.0000 0.2444  1.95
P: 0.6763 0.0000 0.4352  -0.05
P: 0.1056 0.5000 0.9694  -0.05
Ru: 0.6360 0.5000 0.1589  0.05
Pt: 0.2977 0.0000 0.7459  0.00

MnP2RuPt: relaxed, PBE.

VASP energy: -7.476 eV/atom
SG: P-4m2

Unit cell a=3.8632 b=3.8632 c=5.3993 alpha=90.00 beta=90.00 gamma=90.00
Last column: magnetic moment on the atom in μB.
Fractional coordinates of all 5 atoms:
Mn: 0.0000 0.0000 0.0000  2.07
P: 0.0000 0.5000 0.7624  -0.05
P: 0.5000 0.0000 0.2376  -0.05
Ru: 0.5000 0.5000 0.0000  0.01
Pt: 0.0000 0.0000 0.5000  -0.06

MnP2RuPt: relaxed, PBE.

VASP energy: -7.404 eV/atom
SG: Imm2

Unit cell a=3.3425 b=2.9151 c=13.9104 alpha=90.00 beta=90.00 gamma=90.00
Last column: magnetic moment on the atom in μB.
Fractional coordinates of all 10 atoms:
Mn: 0.0000 0.5000 0.6767  1.71
Mn: 0.5000 0.0000 0.1767  1.71
P: 0.0000 0.0000 0.0532  -0.03
P: 0.5000 0.5000 0.5532  -0.03
P: 0.0000 0.5000 0.2406  -0.07
P: 0.5000 0.0000 0.7406  -0.07
Ru: 0.0000 0.0000 0.4988  0.05
Ru: 0.5000 0.5000 0.9988  0.05
Pt: 0.0000 0.0000 0.8567  -0.02
Pt: 0.5000 0.5000 0.3567  -0.02

MnP2RuPt: relaxed, PBE.

VASP energy: -7.515 eV/atom
SG: Pmm2

Unit cell a=3.4693 b=3.2449 c=6.3001 alpha=90.00 beta=90.00 gamma=90.00
Last column: magnetic moment on the atom in μB.
Fractional coordinates of all 5 atoms:
Mn: 0.3348 0.5000 0.6595  2.65
P: 0.3348 0.5000 0.2940  -0.04
P: 0.8347 0.0000 0.7639  -0.08
Ru: 0.8348 0.0000 0.3948  0.36
Pt: 0.3347 0.0000 0.0210  0.00

MnP2RuPt: relaxed, PBE.

VASP energy: -7.277 eV/atom
SG: Cm

Unit cell a=6.7804 b=3.0792 c=7.7646 alpha=90.00 beta=118.77 gamma=90.00
Last column: magnetic moment on the atom in μB.
Fractional coordinates of all 10 atoms:
Mn: 0.3831 0.0000 0.6360  0.28
Mn: 0.3831 0.5000 0.1360  0.28
P: 0.4280 0.0000 0.3643  -0.02
P: 0.4280 0.5000 0.8643  -0.02
P: 0.0576 0.0000 0.6460  -0.01
P: 0.0576 0.5000 0.1460  -0.01
Ru: 0.9912 0.0000 0.9084  -0.02
Ru: 0.9912 0.5000 0.4084  -0.02
Pt: 0.6939 0.0000 0.0710  0.00
Pt: 0.6939 0.5000 0.5710  0.00

MnP2RuPt: relaxed, PBE.

VASP energy: -7.404 eV/atom
SG: Cm

Unit cell a=5.6486 b=3.4360 c=7.9552 alpha=90.00 beta=109.18 gamma=90.00
Last column: magnetic moment on the atom in μB.
Fractional coordinates of all 10 atoms:
Mn: 0.3888 0.0000 0.9940  2.81
Mn: 0.3888 0.5000 0.4940  2.81
P: 0.4411 0.0000 0.3036  -0.09
P: 0.4411 0.5000 0.8036  -0.09
P: 0.8234 0.0000 0.9870  -0.03
P: 0.8234 0.5000 0.4870  -0.03
Ru: 0.8434 0.0000 0.2919  -0.18
Ru: 0.8434 0.5000 0.7919  -0.18
Pt: 0.1446 0.0000 0.6467  0.03
Pt: 0.1446 0.5000 0.1467  0.03

MnP2PtS: relaxed, PBE.

Formation energy (no corrections): 1.283 eV per atom
SG: P4/mmm

Unit cell a=4.6017 b=4.6017 c=4.9385 alpha=90.00 beta=90.00 gamma=90.00
Last column: magnetic moment on the atom in μB.
Fractional coordinates of all 5 atoms:
P: 0.0000 0.5000 0.0000  -0.03
P: 0.5000 0.0000 0.0000  -0.03
S: 0.0000 0.0000 0.5000  0.03
Mn: 0.5000 0.5000 0.5000  -0.15
Pt: 0.0000 0.0000 0.0000  -0.02